No. 1
# YFeRe2B (PBE-GGA, relaxed)
data_YFeRe2B
_symmetry_space_group_name_H-M 'P 4/m m m'
_symmetry_Int_Tables_number 123
_symmetry_space_group_name_Hall '-P 4 2'
_cell_length_a 4.850
_cell_length_b 4.850
_cell_length_c 4.181
_cell_angle_alpha 90.00
_cell_angle_beta 90.00
_cell_angle_gamma 90.00
loop_
_atom_site_label
_atom_site_type_symbol
_atom_site_fract_x
_atom_site_fract_y
_atom_site_fract_z
Y1 Y 0.000 0.000 0.000
Fe1 Fe 0.500 0.500 0.500
Re1 Re 0.000 0.500 0.000
B1 B 0.000 0.000 0.500
# Volume ... 98.3 Å³/cell
# Crystal system ... tetragonal
# M_tot ... 0.303 μB per formula unit

No. 2
# Fe2B2Rh (PBE-GGA, relaxed)
data_Fe2B2Rh
_symmetry_space_group_name_H-M 'P 4/m b m'
_symmetry_Int_Tables_number 127
_symmetry_space_group_name_Hall '-P 4 2ab'
_cell_length_a 5.686
_cell_length_b 5.686
_cell_length_c 2.941
_cell_angle_alpha 90.00
_cell_angle_beta 90.00
_cell_angle_gamma 90.00
loop_
_atom_site_label
_atom_site_type_symbol
_atom_site_fract_x
_atom_site_fract_y
_atom_site_fract_z
Fe1 Fe 0.162 0.338 0.000
B1 B 0.115 0.615 0.500
Rh1 Rh 0.000 0.000 0.500
# Volume ... 95.1 Å³/cell
# Crystal system ... tetragonal
# M_tot ... 4.401 μB per formula unit

No. 3
# FeBRh (PBE-GGA, relaxed)
data_FeBRh
_symmetry_space_group_name_H-M 'I 4 m m'
_symmetry_Int_Tables_number 107
_symmetry_space_group_name_Hall 'I 4 -2'
_cell_length_a 2.643
_cell_length_b 2.643
_cell_length_c 9.046
_cell_angle_alpha 90.00
_cell_angle_beta 90.00
_cell_angle_gamma 90.00
loop_
_atom_site_label
_atom_site_type_symbol
_atom_site_fract_x
_atom_site_fract_y
_atom_site_fract_z
Fe1 Fe 0.000 0.000 0.000
B1 B 0.000 0.000 0.646
Rh1 Rh 0.000 0.000 0.281
# Volume ... 63.2 Å³/cell
# Crystal system ... tetragonal
# M_tot ... 2.478 μB per formula unit

No. 4
# FeBRh2 (PBE-GGA, relaxed)
data_FeBRh2
_symmetry_space_group_name_H-M 'P 4/m m m'
_symmetry_Int_Tables_number 123
_symmetry_space_group_name_Hall '-P 4 2'
_cell_length_a 2.706
_cell_length_b 2.706
_cell_length_c 6.353
_cell_angle_alpha 90.00
_cell_angle_beta 90.00
_cell_angle_gamma 90.00
loop_
_atom_site_label
_atom_site_type_symbol
_atom_site_fract_x
_atom_site_fract_y
_atom_site_fract_z
Fe1 Fe 0.000 0.000 0.000
B1 B 0.000 0.000 0.500
Rh1 Rh 0.500 0.500 0.294
# Volume ... 46.5 Å³/cell
# Crystal system ... tetragonal
# M_tot ... 3.280 μB per formula unit

No. 5
# Fe2B2Rh (PBE-GGA, relaxed)
data_Fe2B2Rh
_symmetry_space_group_name_H-M 'I 4/m m m'
_symmetry_Int_Tables_number 139
_symmetry_space_group_name_Hall '-I 4 2'
_cell_length_a 3.313
_cell_length_b 3.313
_cell_length_c 8.916
_cell_angle_alpha 90.00
_cell_angle_beta 90.00
_cell_angle_gamma 90.00
loop_
_atom_site_label
_atom_site_type_symbol
_atom_site_fract_x
_atom_site_fract_y
_atom_site_fract_z
Fe1 Fe 0.000 0.500 0.250
B1 B 0.000 0.000 0.099
Rh1 Rh 0.000 0.000 0.500
# Volume ... 97.8 Å³/cell
# Crystal system ... tetragonal
# M_tot ... 4.455 μB per formula unit

No. 6
# FeBRh (PBE-GGA, relaxed)
data_FeBRh
_symmetry_space_group_name_H-M 'P n m a'
_symmetry_Int_Tables_number 62
_cell_length_a 5.429
_cell_length_b 3.435
_cell_length_c 6.673
_cell_angle_alpha 90.00
_cell_angle_beta 90.00
_cell_angle_gamma 90.00
loop_
_symmetry_equiv_pos_as_xyz
'x,y,z'
'-x,-y,-z'
'-x+1/2,-y,z+1/2'
'x+1/2,y,-z+1/2'
'x+1/2,-y+1/2,-z+1/2'
'-x+1/2,y+1/2,z+1/2'
'-x,y+1/2,-z'
'x,-y+1/2,z'
loop_
_atom_site_label
_atom_site_type_symbol
_atom_site_fract_x
_atom_site_fract_y
_atom_site_fract_z
Fe1 Fe 0.131 0.250 0.057
B1 B 0.240 0.250 0.380
Rh1 Rh 0.013 0.250 0.669
# Volume ... 124.4 Å³/cell
# Crystal system ... orthorhombic
# M_tot ... 2.248 μB per formula unit

No. 7
# FeB2Rh4 (PBE-GGA, relaxed)
data_FeB2Rh4
_symmetry_space_group_name_H-M 'C 1 c 1'
_symmetry_Int_Tables_number 9
_cell_length_a 6.854
_cell_length_b 12.560
_cell_length_c 5.057
_cell_angle_alpha 90.00
_cell_angle_beta 130.01
_cell_angle_gamma 90.00
loop_
_symmetry_equiv_pos_as_xyz
'x,y,z'
'x,-y,z+1/2'
'x+1/2,y+1/2,z'
'x+1/2,-y+1/2,z+1/2'
loop_
_atom_site_label
_atom_site_type_symbol
_atom_site_fract_x
_atom_site_fract_y
_atom_site_fract_z
Fe1 Fe 0.000 0.125 0.000
B1 B 0.413 0.331 0.012
B2 B 0.437 0.096 0.625
Rh1 Rh 0.039 0.318 0.872
Rh2 Rh 0.212 0.048 0.762
Rh3 Rh 0.218 0.244 0.536
Rh4 Rh 0.218 0.461 0.638
# Volume ... 333.4 Å³/cell
# Crystal system ... monoclinic
# M_tot ... 3.994 μB per formula unit

No. 8
# FeB3Rh (PBE-GGA, relaxed)
data_FeB3Rh
_symmetry_space_group_name_H-M 'P m -3 m'
_symmetry_Int_Tables_number 221
_symmetry_space_group_name_Hall '-P 4 2 3'
_cell_length_a 3.701
_cell_length_b 3.701
_cell_length_c 3.701
_cell_angle_alpha 90.00
_cell_angle_beta 90.00
_cell_angle_gamma 90.00
loop_
_atom_site_label
_atom_site_type_symbol
_atom_site_fract_x
_atom_site_fract_y
_atom_site_fract_z
Fe1 Fe 0.000 0.000 0.000
B1 B 0.000 0.000 0.500
Rh1 Rh 0.500 0.500 0.500
# Volume ... 50.7 Å³/cell
# Crystal system ... cubic
# M_tot ... 0.000 μB per formula unit

No. 9
# FeBRh2 (PBE-GGA, relaxed)
data_FeBRh2
_symmetry_space_group_name_H-M 'I -4 2 d'
_symmetry_Int_Tables_number 122
_symmetry_space_group_name_Hall 'I -4 2bw'
_cell_length_a 6.498
_cell_length_b 6.498
_cell_length_c 4.651
_cell_angle_alpha 90.00
_cell_angle_beta 90.00
_cell_angle_gamma 90.00
loop_
_atom_site_label
_atom_site_type_symbol
_atom_site_fract_x
_atom_site_fract_y
_atom_site_fract_z
Fe1 Fe 0.000 0.000 0.000
B1 B 0.000 0.000 0.500
Rh1 Rh 0.163 0.250 0.625
# Volume ... 196.4 Å³/cell
# Crystal system ... tetragonal
# M_tot ... 0.001 μB per formula unit

No. 10
# FeBRh2 (PBE-GGA, relaxed)
data_FeBRh2
_symmetry_space_group_name_H-M 'P n m a'
_symmetry_Int_Tables_number 62
_cell_length_a 5.845
_cell_length_b 5.603
_cell_length_c 5.894
_cell_angle_alpha 90.00
_cell_angle_beta 90.00
_cell_angle_gamma 90.00
loop_
_symmetry_equiv_pos_as_xyz
'x,y,z'
'-x,-y,-z'
'-x+1/2,-y,z+1/2'
'x+1/2,y,-z+1/2'
'x+1/2,-y+1/2,-z+1/2'
'-x+1/2,y+1/2,z+1/2'
'-x,y+1/2,-z'
'x,-y+1/2,z'
loop_
_atom_site_label
_atom_site_type_symbol
_atom_site_fract_x
_atom_site_fract_y
_atom_site_fract_z
Fe1 Fe 0.005 0.250 0.005
B1 B 0.124 0.250 0.624
Rh1 Rh 0.160 0.001 0.332
# Volume ... 193.0 Å³/cell
# Crystal system ... orthorhombic
# M_tot ... 3.939 μB per formula unit

No. 11
# FeB3Rh (PBE-GGA, relaxed)
data_FeB3Rh
_symmetry_space_group_name_H-M 'P m -3 m'
_symmetry_Int_Tables_number 221
_symmetry_space_group_name_Hall '-P 4 2 3'
_cell_length_a 4.002
_cell_length_b 4.002
_cell_length_c 4.002
_cell_angle_alpha 90.00
_cell_angle_beta 90.00
_cell_angle_gamma 90.00
loop_
_atom_site_label
_atom_site_type_symbol
_atom_site_fract_x
_atom_site_fract_y
_atom_site_fract_z
Fe1 Fe 0.000 0.000 0.000
B1 B 0.000 0.500 0.500
Rh1 Rh 0.500 0.500 0.500
# Volume ... 64.1 Å³/cell
# Crystal system ... cubic
# M_tot ... 3.107 μB per formula unit

Number 1: total energy -5.93 eV per atom, ΔH_f (0 K) 3.37 eV/atom. Number 2: total energy -7.72 eV per atom, ΔH_f (0 K) -0.19 eV/atom. Number 3: total energy -7.57 eV per atom, ΔH_f (0 K) -0.07 eV/atom. Number 4: total energy -7.57 eV per atom, ΔH_f (0 K) -0.11 eV/atom. Number 5: total energy -7.54 eV per atom, ΔH_f (0 K) -0.01 eV/atom. Number 6: total energy -7.70 eV per atom, ΔH_f (0 K) -0.20 eV/atom. Number 7: total energy -7.47 eV per atom, ΔH_f (0 K) -0.15 eV/atom. Number 8: total energy -6.36 eV per atom, ΔH_f (0 K) 0.81 eV/atom. Number 9: total energy -7.23 eV per atom, ΔH_f (0 K) 0.23 eV/atom. Number 10: total energy -7.68 eV per atom, ΔH_f (0 K) -0.21 eV/atom. Number 11: total energy -5.86 eV per atom, ΔH_f (0 K) 1.31 eV/atom.